Record 1
## BaGa2Sb2 (SCAN)

Data for a PBEsol-optimized structure of BaGa2Sb2.

a b c (Å): 25.247 4.451 10.164
angles (deg): 90.00 90.00 90.00
Positions (direct):
Ba  0.038  0.250  0.224
Ba  0.209  0.750  0.448
Ba  0.291  0.250  0.948
Ba  0.462  0.750  0.724
Ba  0.538  0.250  0.276
Ba  0.709  0.750  0.052
Ba  0.791  0.250  0.552
Ba  0.962  0.750  0.776
Ga  0.034  0.250  0.603
Ga  0.077  0.250  0.825
Ga  0.182  0.750  0.032
Ga  0.215  0.750  0.795
Ga  0.285  0.250  0.295
Ga  0.318  0.250  0.532
Ga  0.423  0.750  0.325
Ga  0.466  0.750  0.103
Ga  0.534  0.250  0.897
Ga  0.577  0.250  0.675
Ga  0.682  0.750  0.468
Ga  0.715  0.750  0.705
Ga  0.785  0.250  0.205
Ga  0.818  0.250  0.968
Ga  0.923  0.750  0.175
Ga  0.966  0.750  0.397
Sb  0.072  0.750  0.485
Sb  0.078  0.750  0.976
Sb  0.170  0.250  0.697
Sb  0.185  0.250  0.186
Sb  0.315  0.750  0.686
Sb  0.330  0.750  0.197
Sb  0.422  0.250  0.476
Sb  0.428  0.250  0.985
Sb  0.572  0.750  0.015
Sb  0.578  0.750  0.524
Sb  0.670  0.250  0.803
Sb  0.685  0.250  0.314
Sb  0.815  0.750  0.814
Sb  0.830  0.750  0.303
Sb  0.922  0.250  0.024
Sb  0.928  0.250  0.515

Results
As for the mass density: 6.1 g/cm3. The total energy is -29.935 eV/atom. For the total moment, the calculation gives 0.0000 μB per atom. For the volume, the calculation gives 28.56 A^3/atom.

***

Record 2
## Co2CuTe (SCAN)

Data for a PBEsol-optimized structure of Co2CuTe.

a b c (Å): 3.252 3.252 5.141
angles (deg): 90.00 90.00 90.00
Positions (direct):
Co  0.000  0.000  0.000
Co  0.500  0.500  0.258
Cu  0.000  0.000  0.461
Te  0.500  0.500  0.772

Results
As for the mass density: 9.4 g/cm3. The total energy is -21.388 eV/atom. For the total moment, the calculation gives 0.7858 μB per atom. For the volume, the calculation gives 13.59 A^3/atom.

***

Record 3
## YZn2 (SCAN)

Data for a PBEsol-optimized structure of YZn2.

a b c (Å): 5.451 5.451 8.500
angles (deg): 90.00 90.00 120.00
Positions (direct):
Y  0.333  0.667  0.058
Y  0.333  0.667  0.442
Y  0.667  0.333  0.558
Y  0.667  0.333  0.942
Zn  0.000  0.000  0.000
Zn  0.000  0.000  0.500
Zn  0.168  0.336  0.750
Zn  0.168  0.832  0.750
Zn  0.336  0.168  0.250
Zn  0.664  0.832  0.750
Zn  0.832  0.168  0.250
Zn  0.832  0.664  0.250

Results
As for the mass density: 6.7 g/cm3. The total energy is -18.721 eV/atom. The value obtained for the energy relative to the elements is -0.430 eV/atom. For the total moment, the calculation gives 0.0000 μB per atom. For the volume, the calculation gives 18.23 A^3/atom.

***

Record 4
## IrBrCl2 (SCAN)

Data for a PBEsol-optimized structure of IrBrCl2.

a b c (Å): 6.309 6.309 6.309
angles (deg): 150.95 133.54 55.73
Positions (direct):
Ir  0.000  0.000  0.000
Br  0.500  0.500  0.000
Cl  0.157  0.657  0.500
Cl  0.843  0.343  0.500

Results
As for the mass density: 6.5 g/cm3. The total energy is -26.515 eV/atom. As for the energy above the most stable polymorph in this dataset: 17 meV/atom. For the total moment, the calculation gives 0.0000 μB per atom. For the volume, the calculation gives 21.96 A^3/atom.

***

Record 5
## InRu (SCAN)

Data for a PBEsol-optimized structure of InRu.

a b c (Å): 4.552 4.552 4.552
angles (deg): 60.00 60.00 60.00
Positions (direct):
In  0.125  0.125  0.125
In  0.875  0.875  0.875
Ru  0.375  0.375  0.375
Ru  0.625  0.625  0.625

Results
As for the mass density: 10.7 g/cm3. The total energy is -33.692 eV/atom. The value obtained for the energy relative to the elements is 0.414 eV/atom. For the total moment, the calculation gives 0.6502 μB per atom. For the volume, the calculation gives 16.68 A^3/atom.

***

Record 6
## LaBRh3 (SCAN)

Data for a PBEsol-optimized structure of LaBRh3.

a b c (Å): 4.218 4.218 4.218
angles (deg): 90.00 90.00 90.00
Positions (direct):
La  0.000  0.000  0.000
B  0.500  0.500  0.500
Rh  0.000  0.500  0.500
Rh  0.500  0.000  0.500
Rh  0.500  0.500  0.000

Results
As for the mass density: 10.1 g/cm3. The total energy is -31.130 eV/atom. The value obtained for the energy relative to the elements is -0.760 eV/atom. For the total moment, the calculation gives 0.0368 μB per atom. For the volume, the calculation gives 15.01 A^3/atom.

***

Which formula does entry 3 have?
YZn2

***

Please write out number 5 again, unchanged.
## InRu (SCAN)

Data for a PBEsol-optimized structure of InRu.

a b c (Å): 4.552 4.552 4.552
angles (deg): 60.00 60.00 60.00
Positions (direct):
In  0.125  0.125  0.125
In  0.875  0.875  0.875
Ru  0.375  0.375  0.375
Ru  0.625  0.625  0.625

Results
As for the mass density: 10.7 g/cm3. The total energy is -33.692 eV/atom. The value obtained for the energy relative to the elements is 0.414 eV/atom. For the total moment, the calculation gives 0.6502 μB per atom. For the volume, the calculation gives 16.68 A^3/atom.

***

Among the records above, which one has the highest volume?
BaGa2Sb2